This record from Alexandria via LeMat-Bulk describes a relaxed structure of Pm2SmTlHg4. The functional is GGA-PBE.

DOS(E_F), states/eV/cell: 6.042
DFT formation energy, eV/atom: -0.413
ρ, kg/m³: 11104
E, eV per atom: -2.6370

a b c (Å): 5.2820 5.2820 9.4617
angles (deg): 73.79 73.79 60.00
Sites, in units of the cell vectors:
Pm 0.7413 0.7413 0.7760
Pm 0.2587 0.2587 0.2240
Sm 0.5000 0.5000 0.5000
Tl 0.0000 0.0000 0.0000
Hg 0.3808 0.3808 0.8577
Hg 0.8674 0.8674 0.3977
Hg 0.1326 0.1326 0.6023
Hg 0.6192 0.6192 0.1423


This record from Alexandria via LeMat-Bulk describes a relaxed structure of TbGePt6. The functional is GGA-PBE.

DOS(E_F), states/eV/cell: 6.777
DFT formation energy, eV/atom: -0.622
Offset from the most stable computed form, eV/atom: 0.0000
ρ, kg/m³: 17482
E, eV per atom: -6.3084

a b c (Å): 4.0658 4.0658 8.0561
angles (deg): 90.00 90.00 90.00
Sites, in units of the cell vectors:
Tb 0.0000 0.0000 0.0000
Ge 0.0000 0.0000 0.5000
Pt 0.5000 0.5000 0.0000
Pt 0.5000 0.5000 0.5000
Pt 0.5000 0.0000 0.2628
Pt 0.5000 0.0000 0.7372
Pt 0.0000 0.5000 0.2628
Pt 0.0000 0.5000 0.7372


This record from Alexandria via LeMat-Bulk describes a relaxed structure of YZn2Os. The functional is GGA-PBE.

DOS(E_F), states/eV/cell: 2.792
DFT formation energy, eV/atom: 0.015
Offset from the most stable computed form, eV/atom: 0.1392
ρ, kg/m³: 9695
E, eV per atom: -5.0456

a b c (Å): 3.4011 3.4011 6.0700
angles (deg): 90.00 90.00 90.02
Sites, in units of the cell vectors:
Os 0.5000 0.5000 0.2500
Y 0.5000 0.5000 0.7500
Zn 0.0000 0.0000 0.0474
Zn 0.0000 0.0000 0.4526


Question: Which of these has the highest ρ?
Answer: TbGePt6